Lu2CoTe2S2O14: relaxed, PBE with a Hubbard U.

Values from the calculation:
Size of the total moment, μB per formula unit: 1.0
E_tot, eV per atom: -6.54
Calculated volume, Å³ per cell: 297.3
Symmetry: P-1, No. 2

a b c (Å): 5.3920 8.1268 8.0883
angles (deg): 114.40 106.77 96.80
Last column: nearest neighbours and their distance in Å.
Fractional positions:
1 Lu 0.1657 0.2306 0.5289  6 O 2.20-2.30
2 Lu 0.8343 0.7694 0.4711  6 O 2.20-2.30
3 Co 0.5000 0.5000 0.0000  4 O 1.98-2.02
4 Te 0.1256 0.7584 0.1381  3 O 1.91-1.94
5 Te 0.8744 0.2416 0.8619  3 O 1.91-1.94
6 S 0.5841 0.2798 0.2727  4 O 1.48-1.49
7 S 0.4159 0.7202 0.7273  4 O 1.48-1.49
8 O 0.3785 0.1844 0.3181  1 S 1.49
9 O 0.6215 0.8156 0.6819  1 S 1.49
10 O 0.2969 0.5207 0.5757  1 S 1.48
11 O 0.7031 0.4793 0.4243  1 S 1.48
12 O 0.8045 0.1845 0.2760  1 S 1.49
13 O 0.1955 0.8155 0.7240  1 S 1.49
14 O 0.4549 0.2640 0.0763  1 S 1.48
15 O 0.5451 0.7360 0.9237  1 S 1.48
16 O 0.8907 0.5693 0.1525  1 Te 1.94, 1 Co 1.98
17 O 0.1093 0.4307 0.8475  1 Te 1.94, 1 Co 1.98
18 O 0.4483 0.6949 0.2324  1 Te 1.91, 1 Co 2.02
19 O 0.5517 0.3051 0.7676  1 Te 1.91, 1 Co 2.02
20 O 0.1223 0.9230 0.3874  1 Te 1.91
21 O 0.8777 0.0770 0.6126  1 Te 1.91